VASP calculation (meta-GGA SCAN) on a crystal of Hf3ZnIn relaxed with PBEsol.

Formation enthalpy at 0 K = 356 meV/atom
SG = Pm-3m

Structure (POSCAR):
```
Hf3ZnIn
1.0
4.853 0.000 0.000
0.000 4.853 0.000
0.000 0.000 4.853
Hf Zn In
3 1 1
Direct
0.000 0.000 0.500
0.000 0.500 0.000
0.500 0.000 0.000
0.000 0.000 0.000
0.500 0.500 0.500
```